Here is a relaxed structure of NdSc3 from Alexandria via LeMat-Bulk. Energies are from GGA-PBE.

Values from the calculation:
Space group ... No. 25
Relative energy among the computed polymorphs ... 0.07 eV/f.u.

```
NdSc3
1.0
3.424 0.000 0.000
0.000 5.345 0.000
0.000 0.000 5.919
Sc Nd
3 1
direct
0.500 0.500 0.829
0.000 0.000 0.993
0.500 0.000 0.510
0.000 0.500 0.335
```

=====

Here is a relaxed structure of Nd2Sc from Alexandria via LeMat-Bulk. Energies are from GGA-PBE.

Values from the calculation:
Space group ... No. 227
Relative energy among the computed polymorphs ... 0.83 eV/f.u.

```
Nd2Sc
1.0
6.541 0.000 0.000
3.271 5.665 0.000
3.271 1.888 5.341
Sc Nd
2 4
direct
0.000 0.000 0.000
0.250 0.250 0.250
0.625 0.625 0.125
0.125 0.625 0.625
0.625 0.125 0.625
0.625 0.625 0.625
```

=====

Here is a relaxed structure of Nd3Sc from Alexandria via LeMat-Bulk. Energies are from GGA-PBE.

Values from the calculation:
Space group ... No. 44
Relative energy among the computed polymorphs ... 0.09 eV/f.u.

```
Nd3Sc
1.0
3.644 0.000 0.000
0.000 6.196 0.000
-1.822 -3.098 5.780
Nd Sc
3 1
direct
0.742 0.080 0.483
0.258 0.597 0.517
0.500 0.492 0.000
0.000 0.997 0.000
```

=====

Here is a relaxed structure of Nd3Sc from Alexandria via LeMat-Bulk. Energies are from GGA-PBE.

Values from the calculation:
Space group ... No. 194
Relative energy among the computed polymorphs ... 0.04 eV/f.u.

```
Nd3Sc
1.0
-6.559 3.107 0.225
2.838 -2.031 -6.367
-2.427 -5.165 0.565
Nd Sc
6 2
direct
0.170 0.341 0.250
0.659 0.830 0.250
0.830 0.170 0.750
0.830 0.659 0.750
0.170 0.830 0.250
0.341 0.170 0.750
0.667 0.333 0.250
0.333 0.667 0.750
```

=====

Here is a relaxed structure of NdSc2 from Alexandria via LeMat-Bulk. Energies are from GGA-PBE.

Values from the calculation:
Space group ... No. 227
Relative energy among the computed polymorphs ... 0.43 eV/f.u.

```
NdSc2
1.0
-1.455 -3.560 5.062
3.272 -5.319 1.192
3.969 -0.246 4.960
Sc Nd
4 2
direct
0.625 0.625 0.625
0.625 0.125 0.625
0.125 0.625 0.625
0.625 0.625 0.125
0.000 0.000 0.000
0.250 0.250 0.250
```

=====

Here is a relaxed structure of Nd3Sc from Alexandria via LeMat-Bulk. Energies are from GGA-PBE.

Values from the calculation:
Space group ... No. 139
Relative energy among the computed polymorphs ... 0.02 eV/f.u.

```
Nd3Sc
1.0
-4.184 0.173 2.864
1.900 -3.628 2.995
3.268 5.228 -0.036
Nd Sc
3 1
direct
0.250 0.750 0.500
0.750 0.250 0.500
0.500 0.500 0.000
0.000 0.000 0.000
```

=====

Here is a relaxed structure of Nd4Sc from Alexandria via LeMat-Bulk. Energies are from GGA-PBE.

Values from the calculation:
Space group ... No. 221
Relative energy among the computed polymorphs ... 2.53 eV/f.u.

```
Nd4Sc
1.0
-0.259 -3.295 -4.666
-4.155 -3.097 2.417
-3.920 3.500 -2.254
Nd Sc
4 1
direct
0.000 0.500 0.500
0.500 0.500 0.000
0.500 0.000 0.500
0.000 0.000 0.000
0.500 0.500 0.500
```

=====

Here is a relaxed structure of Nd5Sc3 from Alexandria via LeMat-Bulk. Energies are from GGA-PBE.

Values from the calculation:
Space group ... No. 123

```
Nd5Sc3
1.0
-3.168 -0.843 -1.442
-0.693 -2.149 2.780
-8.216 14.800 9.393
Nd Sc
5 3
direct
0.500 0.500 0.378
0.000 0.000 0.000
0.500 0.500 0.622
0.000 0.000 0.240
0.000 0.000 0.760
0.000 0.000 0.500
0.500 0.500 0.119
0.500 0.500 0.881
```

=====

Here is a relaxed structure of Nd4Sc from Alexandria via LeMat-Bulk. Energies are from GGA-PBE.

Values from the calculation:
Space group ... No. 139
Relative energy among the computed polymorphs ... 0.00 eV/f.u.

```
Nd4Sc
1.0
-2.333 -0.550 2.728
2.777 -0.686 2.236
0.387 12.751 0.484
Nd Sc
4 1
direct
0.197 0.197 0.394
0.803 0.803 0.606
0.408 0.408 0.815
0.592 0.592 0.185
0.000 0.000 0.000
```

=====

Here is a relaxed structure of Nd3Sc from Alexandria via LeMat-Bulk. Energies are from GGA-PBE.

Values from the calculation:
Space group ... No. 221
Relative energy among the computed polymorphs ... 0.00 eV/f.u.

```
Nd3Sc
1.0
5.051 0.000 0.000
0.000 5.051 0.000
0.000 0.000 5.051
Nd Sc
3 1
direct
0.000 0.500 0.500
0.500 0.500 0.000
0.500 0.000 0.500
0.000 0.000 0.000
```

=====

Here is a relaxed structure of NdSc2 from Alexandria via LeMat-Bulk. Energies are from GGA-PBE.

Values from the calculation:
Space group ... No. 12
Relative energy among the computed polymorphs ... 0.27 eV/f.u.

```
NdSc2
1.0
-4.037 2.246 0.845
1.517 1.122 4.300
1.181 9.082 1.057
Nd Sc
2 4
direct
0.273 0.773 0.809
0.727 0.227 0.191
0.233 0.733 0.193
0.500 0.500 0.500
0.000 0.000 0.500
0.767 0.267 0.807
```

=====

Here is a relaxed structure of Nd5Sc from Alexandria via LeMat-Bulk. Energies are from GGA-PBE.

Values from the calculation:
Space group ... No. 65
Relative energy among the computed polymorphs ... 0.49 eV/f.u.

```
Nd5Sc
1.0
5.980 0.000 0.000
0.000 5.982 0.000
0.000 -2.991 5.579
Nd Sc
5 1
direct
0.000 0.162 0.323
0.500 0.000 0.000
0.500 0.659 0.317
0.500 0.341 0.683
0.000 0.838 0.677
0.000 0.500 0.000
```

=====

Number 1: DFT total energy -5.883 eV/atom, ΔH_f (0 K) 22.3 kJ/mol of formula units. Number 2: DFT total energy -4.912 eV/atom, ΔH_f (0 K) 109.3 kJ/mol of formula units. Number 3: DFT total energy -5.099 eV/atom, ΔH_f (0 K) 22.9 kJ/mol of formula units. Number 4: DFT total energy -5.111 eV/atom, ΔH_f (0 K) 18.5 kJ/mol of formula units. Number 5: DFT total energy -5.581 eV/atom, ΔH_f (0 K) 66.4 kJ/mol of formula units. Number 6: DFT total energy -5.116 eV/atom, ΔH_f (0 K) 16.5 kJ/mol of formula units. Number 7: DFT total energy -4.534 eV/atom, ΔH_f (0 K) 263.6 kJ/mol of formula units. Number 8: DFT total energy -5.295 eV/atom, ΔH_f (0 K) 45.3 kJ/mol of formula units. Number 9: DFT total energy -5.041 eV/atom, ΔH_f (0 K) 19.1 kJ/mol of formula units. Number 10: DFT total energy -5.121 eV/atom, ΔH_f (0 K) 14.5 kJ/mol of formula units. Number 11: DFT total energy -5.633 eV/atom, ΔH_f (0 K) 51.4 kJ/mol of formula units. Number 12: DFT total energy -4.912 eV/atom, ΔH_f (0 K) 67.5 kJ/mol of formula units.